No. 1
A plane-wave DFT calculation with meta-GGA SCAN was carried out for a crystal of MgFe2Os relaxed with PBEsol.

Results
Its total energy is -112.2 eV/cell. The total moment is 5.7 μB/f.u. Its formation energy is 0.9 eV per formula unit. The value obtained for the volume is 51.6 Å³/cell. Its crystal system is orthorhombic.

```
MgFe2Os
1.0
-2.963 0.145 -0.290
-0.102 -4.073 -0.999
1.095 0.996 4.631
Fe Mg Os
2 1 1
direct
0.740 0.740 0.480 Fe
0.260 0.260 0.520 Fe
0.500 0.000 0.000 Mg
0.000 0.500 0.000 Os
```

No. 2
A plane-wave DFT calculation with meta-GGA SCAN was carried out for a crystal of MgFeP2 relaxed with PBEsol.

Results
Its total energy is -41.7 eV/cell. The total moment is 0.0 μB/f.u. Its formation energy is 2.2 eV per formula unit. The value obtained for the volume is 51.3 Å³/cell. Its crystal system is cubic.

```
MgFeP2
1.0
-2.121 0.356 -3.572
-2.411 -3.138 -1.314
-4.151 0.390 0.070
Fe Mg P
1 1 2
direct
0.500 0.500 0.500 Fe
0.250 0.250 0.250 Mg
0.000 0.000 0.000 P
0.750 0.750 0.750 P
```

No. 3
A plane-wave DFT calculation with meta-GGA SCAN was carried out for a crystal of MgFe2P relaxed with PBEsol.

Results
Its total energy is -52.3 eV/cell. The total moment is 4.5 μB/f.u. Its formation energy is -0.6 eV per formula unit. The value obtained for the volume is 56.2 Å³/cell. Its crystal system is trigonal.

```
MgFe2P
1.0
-1.479 -0.903 3.434
-3.672 -1.112 0.281
-0.497 -4.846 0.666
Fe Mg P
2 1 1
direct
0.981 0.981 0.058 Fe
0.709 0.709 0.872 Fe
0.510 0.510 0.469 Mg
0.314 0.314 0.057 P
```

No. 4
A plane-wave DFT calculation with meta-GGA SCAN was carried out for a crystal of MgFe2P relaxed with PBEsol.

Results
Its total energy is -51.4 eV/cell. The total moment is 4.9 μB/f.u. Its formation energy is 0.2 eV per formula unit. The value obtained for the volume is 49.1 Å³/cell. Its crystal system is cubic.

```
MgFe2P
1.0
4.109 0.000 0.000
2.054 3.558 0.000
2.054 1.186 3.355
Fe Mg P
2 1 1
direct
0.000 0.000 0.000 Fe
0.750 0.750 0.750 Fe
0.500 0.500 0.500 Mg
0.250 0.250 0.250 P
```

No. 5
A plane-wave DFT calculation with meta-GGA SCAN was carried out for a crystal of MgFe2P relaxed with PBEsol.

Results
Its total energy is -51.7 eV/cell. The total moment is 5.1 μB/f.u. Its formation energy is -0.1 eV per formula unit. The value obtained for the volume is 47.4 Å³/cell. Its crystal system is tetragonal.

```
MgFe2P
1.0
3.628 0.000 0.000
0.000 3.628 0.000
0.000 0.000 3.600
Fe Mg P
2 1 1
direct
0.000 0.500 0.000 Fe
0.500 0.000 0.000 Fe
0.500 0.500 0.500 Mg
0.000 0.000 0.500 P
```

No. 6
A plane-wave DFT calculation with meta-GGA SCAN was carried out for a crystal of MgFeP2 relaxed with PBEsol.

Results
Its total energy is -43.4 eV/cell. The total moment is 2.4 μB/f.u. Its formation energy is 0.5 eV per formula unit. The value obtained for the volume is 54.0 Å³/cell. Its crystal system is orthorhombic.

```
MgFeP2
1.0
3.295 0.000 0.000
0.000 4.084 0.000
0.000 0.000 4.016
Fe Mg P
1 1 2
direct
0.500 0.500 0.000 Fe
0.500 0.000 0.500 Mg
0.000 0.000 0.000 P
0.000 0.500 0.500 P
```

No. 7
A plane-wave DFT calculation with meta-GGA SCAN was carried out for a crystal of MgFeP2 relaxed with PBEsol.

Results
Its total energy is -43.5 eV/cell. The total moment is 2.2 μB/f.u. Its formation energy is 0.4 eV per formula unit. The value obtained for the volume is 53.3 Å³/cell. Its crystal system is orthorhombic.

```
MgFeP2
1.0
3.109 0.000 0.000
0.000 4.199 0.033
0.000 -1.008 4.076
Fe Mg P
1 1 2
direct
0.500 0.500 0.500 Fe
0.500 0.000 0.000 Mg
0.000 0.000 0.500 P
0.000 0.500 0.000 P
```

No. 8
A plane-wave DFT calculation with meta-GGA SCAN was carried out for a crystal of MgFeP relaxed with PBEsol.

Results
Its total energy is -34.2 eV/cell. The total moment is 2.6 μB/f.u. Its formation energy is -0.7 eV per formula unit. The value obtained for the volume is 43.7 Å³/cell. Its crystal system is cubic.

```
MgFeP
1.0
-3.850 0.640 -0.640
-2.493 0.278 3.057
-1.605 3.492 0.931
Fe Mg P
1 1 1
direct
0.000 0.000 0.000 Fe
0.500 0.500 0.500 Mg
0.750 0.750 0.750 P
```

No. 9
A plane-wave DFT calculation with meta-GGA SCAN was carried out for a crystal of MgFePS2 relaxed with PBEsol.

Results
Its total energy is -52.4 eV/cell. The total moment is 1.6 μB/f.u. The uncorrected formation energy is 0.081 eV per atom. The value obtained for the volume is 88.4 Å³/cell. Its crystal system is tetragonal.

```
MgFePS2
1.0
-1.570 -2.419 -2.858
-2.199 -2.467 3.296
-3.700 2.822 -0.357
Mg P S Fe
1 1 2 1
direct
0.500 0.500 0.500 Mg
0.500 0.000 0.000 P
0.000 0.000 0.500 S
0.000 0.500 0.000 S
0.000 0.000 0.000 Fe
```

No. 10
A plane-wave DFT calculation with meta-GGA SCAN was carried out for a crystal of MgFePb relaxed with PBEsol.

Results
Its total energy is -97.8 eV/cell. The total moment is 3.1 μB/f.u. Its formation energy is 1.1 eV per formula unit. The value obtained for the volume is 66.6 Å³/cell. Its crystal system is cubic.

```
MgFePb
1.0
4.550 0.000 0.000
2.275 3.940 0.000
2.275 1.313 3.715
Fe Mg Pb
1 1 1
direct
0.000 0.000 0.000 Fe
0.500 0.500 0.500 Mg
0.750 0.750 0.750 Pb
```

No. 11
A plane-wave DFT calculation with meta-GGA SCAN was carried out for a crystal of Mg3FePb relaxed with PBEsol.

Results
Its total energy is -104.7 eV/cell. The total moment is 3.1 μB/f.u. Its formation energy is 4.1 eV per formula unit. The value obtained for the volume is 150.6 Å³/cell. Its crystal system is cubic.

```
Mg3FePb
1.0
-4.284 -1.729 -2.638
-0.061 -4.403 2.985
-3.153 2.434 3.526
Pb Mg Fe
1 3 1
direct
0.000 0.000 0.000 Pb
0.000 0.500 0.000 Mg
0.000 0.000 0.500 Mg
0.500 0.000 0.000 Mg
0.500 0.500 0.500 Fe
```

No. 12
A plane-wave DFT calculation with meta-GGA SCAN was carried out for a crystal of MgFeSbPb2 relaxed with PBEsol.

Results
Its total energy is -210.3 eV/cell. The total moment is 2.3 μB/f.u. The uncorrected formation energy is 0.335 eV per atom. The value obtained for the volume is 128.5 Å³/cell. Its crystal system is tetragonal.

```
MgFeSbPb2
1.0
4.878 0.000 0.000
0.000 5.132 0.000
0.000 0.000 5.132
Pb Sb Mg Fe
2 1 1 1
direct
0.000 0.000 0.500 Pb
0.000 0.500 0.000 Pb
0.500 0.000 0.000 Sb
0.500 0.500 0.500 Mg
0.000 0.000 0.000 Fe
```

No. 13
A plane-wave DFT calculation with meta-GGA SCAN was carried out for a crystal of MgZr2FePd relaxed with PBEsol.

Results
Its total energy is -114.9 eV/cell. The total moment is 1.8 μB/f.u. Its formation energy is 2.3 eV per formula unit. The value obtained for the volume is 115.6 Å³/cell. Its crystal system is tetragonal.

```
MgZr2FePd
1.0
-1.984 0.923 -4.122
-4.130 -2.366 1.458
-1.801 4.268 1.823
Mg Zr Pd Fe
1 2 1 1
direct
0.500 0.500 0.500 Mg
0.000 0.000 0.500 Zr
0.000 0.500 0.000 Zr
0.000 0.000 0.000 Pd
0.500 0.000 0.000 Fe
```

No. 14
A plane-wave DFT calculation with meta-GGA SCAN was carried out for a crystal of MgFe2Pt relaxed with PBEsol.

Results
Its total energy is -111.9 eV/cell. The total moment is 1.2 μB/f.u. Its formation energy is -0.4 eV per formula unit. The value obtained for the volume is 52.5 Å³/cell. Its crystal system is tetragonal.

```
MgFe2Pt
1.0
2.686 0.000 0.000
0.000 2.686 0.000
0.000 0.000 7.281
Fe Mg Pt
2 1 1
direct
0.000 0.000 0.019 Fe
0.500 0.500 0.220 Fe
0.000 0.000 0.491 Mg
0.500 0.500 0.769 Pt
```

No. 15
A plane-wave DFT calculation with meta-GGA SCAN was carried out for a crystal of MgFe2Pt relaxed with PBEsol.

Results
Its total energy is -111.2 eV/cell. The total moment is 6.0 μB/f.u. Its formation energy is 0.2 eV per formula unit. The value obtained for the volume is 55.9 Å³/cell. Its crystal system is trigonal.

```
MgFe2Pt
1.0
2.710 0.000 0.000
1.355 2.347 0.000
1.355 0.782 8.797
Fe Mg Pt
2 1 1
direct
0.252 0.252 0.243 Fe
0.748 0.748 0.757 Fe
0.500 0.500 0.500 Mg
0.000 0.000 0.000 Pt
```

No. 16
A plane-wave DFT calculation with meta-GGA SCAN was carried out for a crystal of MgFe2Pt relaxed with PBEsol.

Results
Its total energy is -112.6 eV/cell. The total moment is 5.8 μB/f.u. Its formation energy is -1.1 eV per formula unit. The value obtained for the volume is 54.2 Å³/cell. Its crystal system is monoclinic.

```
MgFe2Pt
1.0
-0.757 2.787 0.272
-3.811 -1.167 1.350
3.723 -0.829 3.392
Fe Mg Pt
2 1 1
direct
0.244 0.243 0.488 Fe
0.756 0.757 0.512 Fe
0.000 0.500 0.000 Mg
0.500 0.000 0.000 Pt
```

No. 17
A plane-wave DFT calculation with meta-GGA SCAN was carried out for a crystal of MgScFe2Pt relaxed with PBEsol.

Results
Its total energy is -124.3 eV/cell. The total moment is 5.3 μB/f.u. Its formation energy is 1.4 eV per formula unit. The value obtained for the volume is 103.1 Å³/cell. Its crystal system is tetragonal.

```
MgScFe2Pt
1.0
-3.933 0.668 2.465
-2.553 -0.997 -3.805
-0.017 -4.533 1.200
Sc Mg Fe Pt
1 1 2 1
direct
0.500 0.500 0.500 Sc
0.000 0.000 0.500 Mg
0.000 0.500 0.000 Fe
0.500 0.000 0.000 Fe
0.000 0.000 0.000 Pt
```

No. 18
A plane-wave DFT calculation with meta-GGA SCAN was carried out for a crystal of MgFe2Re relaxed with PBEsol.

Results
The distance to the lowest polymorph of the same formula is 62 meV/atom. Its total energy is -111.2 eV/cell. The total moment is 4.8 μB/f.u. Its formation energy is 1.1 eV per formula unit. The value obtained for the volume is 54.3 Å³/cell. Its crystal system is trigonal.

```
MgFe2Re
1.0
2.696 0.000 0.000
1.348 2.335 0.000
1.348 0.778 8.625
Fe Mg Re
2 1 1
direct
0.254 0.254 0.238 Fe
0.746 0.746 0.762 Fe
0.500 0.500 0.500 Mg
0.000 0.000 0.000 Re
```

No. 19
A plane-wave DFT calculation with meta-GGA SCAN was carried out for a crystal of MgFe2Re relaxed with PBEsol.

Results
The distance to the lowest polymorph of the same formula is 0 meV/atom. Its total energy is -111.5 eV/cell. The total moment is 4.4 μB/f.u. Its formation energy is 0.9 eV per formula unit. The value obtained for the volume is 51.8 Å³/cell. Its crystal system is orthorhombic.

```
MgFe2Re
1.0
2.759 0.000 0.000
0.000 4.303 0.000
-1.380 -2.152 4.366
Fe Mg Re
2 1 1
direct
0.993 0.993 0.987 Fe
0.272 0.772 0.544 Fe
0.507 0.507 0.013 Mg
0.728 0.228 0.457 Re
```

No. 20
A plane-wave DFT calculation with meta-GGA SCAN was carried out for a crystal of MgFeRe2 relaxed with PBEsol.

Results
The distance to the lowest polymorph of the same formula is 4 meV/atom. Its total energy is -164.1 eV/cell. The total moment is 2.7 μB/f.u. Its formation energy is 1.2 eV per formula unit. The value obtained for the volume is 56.7 Å³/cell. Its crystal system is orthorhombic.

```
MgFeRe2
1.0
-2.206 -1.366 0.193
0.969 -2.176 -4.324
1.737 -2.237 4.043
Fe Mg Re
1 1 2
direct
0.500 0.000 0.000 Fe
0.500 0.500 0.500 Mg
0.000 0.500 0.000 Re
0.000 0.000 0.500 Re
```